Entry 1:
DFT (GGA-PBE) results for CoOsS4 after structural relaxation.

Cell lengths 5.565, 5.609, 5.617 Å; angles 90.00, 90.47, 90.00 degrees
Space group P2_1/c (No. 14)
Inequivalent atoms, fractional coordinates:
Co 0.000 0.000 0.000 [2 per cell]
Os 0.500 0.000 0.500 [2 per cell]
S 0.110 0.115 0.611 [4 per cell]
S 0.382 0.613 0.614 [4 per cell]

excess energy over the best structure of this formula in the dataset	0	meV per atom
crystal system	monoclinic

=====

Entry 2:
DFT (GGA-PBE) results for LiZrAl6 after structural relaxation.

Cell lengths 5.793, 5.793, 4.035 Å; angles 90.00, 90.00, 90.00 degrees
Space group P4/mmm (No. 123)
Inequivalent atoms, fractional coordinates:
Li 0.000 0.000 0.000 [1 per cell]
Zr 0.500 0.500 0.000 [1 per cell]
Al 0.000 0.500 0.000 [2 per cell]
Al 0.245 0.245 0.500 [4 per cell]

formation enthalpy at 0 K	-0.294	eV/atom
crystal system	tetragonal

=====

Entry 3:
DFT (GGA-PBE) results for La8NdHo3 after structural relaxation.

Cell lengths 6.881, 11.198, 11.755 Å; angles 90.00, 90.00, 90.00 degrees
Space group Immm (No. 71)
Inequivalent atoms, fractional coordinates:
La 0.000 0.164 0.247 [8 per cell]
La 0.221 0.275 0.000 [8 per cell]
Nd 0.000 0.000 0.500 [2 per cell]
Ho 0.000 0.000 0.000 [2 per cell]
Ho 0.000 0.500 0.234 [4 per cell]

formation enthalpy at 0 K	0.320	eV/atom
crystal system	orthorhombic

=====

Entry 4:
DFT (GGA-PBE) results for Y3ScIn after structural relaxation.

Cell lengths 4.779, 24.473, 4.787 Å; angles 90.00, 90.00, 90.00 degrees
Space group Cmcm (No. 63)
Inequivalent atoms, fractional coordinates:
Y 0.000 0.053 0.250 [4 per cell]
Y 0.000 0.250 0.250 [4 per cell]
Y 0.000 0.444 0.250 [4 per cell]
Sc 0.000 0.152 0.750 [4 per cell]
In 0.000 0.347 0.750 [4 per cell]

formation enthalpy at 0 K	-0.184	eV/atom
excess energy over the best structure of this formula in the dataset	0	meV per atom
crystal system	orthorhombic

=====

Entry 5:
DFT (GGA-PBE) results for Fe2AsIr after structural relaxation.

Cell lengths 9.496, 2.945, 4.267 Å; angles 90.00, 116.62, 90.00 degrees
Space group C2/m (No. 12)
Inequivalent atoms, fractional coordinates:
Fe 0.233 0.000 0.233 [4 per cell]
As 0.000 0.500 0.000 [2 per cell]
Ir 0.000 0.000 0.500 [2 per cell]

formation enthalpy at 0 K	0.063	eV/atom
crystal system	monoclinic

=====

Entry 6:
DFT (GGA-PBE) results for Mg8CdAg2 after structural relaxation.

Cell lengths 4.789, 6.809, 8.284 Å; angles 65.98, 73.31, 89.95 degrees
Space group P1 (No. 1)
Inequivalent atoms, fractional coordinates:
Mg 0.000 0.000 0.000 [1 per cell]
Mg 0.035 0.567 0.927 [1 per cell]
Mg 0.199 0.054 0.595 [1 per cell]
Mg 0.367 0.900 0.263 [1 per cell]
Mg 0.404 0.397 0.188 [1 per cell]
Mg 0.591 0.278 0.817 [1 per cell]
Mg 0.698 0.763 0.598 [1 per cell]
Mg 0.817 0.516 0.360 [1 per cell]
Cd 0.202 0.485 0.593 [1 per cell]
Ag 0.541 0.830 0.918 [1 per cell]
Ag 0.858 0.150 0.281 [1 per cell]

formation enthalpy at 0 K	-0.100	eV/atom
excess energy over the best structure of this formula in the dataset	0	meV per atom
crystal system	triclinic